Here is a relaxed Y2TcTe crystal from Alexandria via LeMat-Bulk. Energies are from GGA-PBE.

Values from the calculation:
crystal system: tetragonal

Cell: 3.7088 3.7088 6.9488 Å, 90.00 90.00 90.00°
Space group P4/mmm (No. 123)
Symmetry-distinct sites (fractional):
Y: 0.0000 0.0000 0.2285
Tc: 0.5000 0.5000 0.0000
Te: 0.5000 0.5000 0.5000



Here is a relaxed YTc2Te crystal from Alexandria via LeMat-Bulk. Energies are from GGA-PBE.

Values from the calculation:
crystal system: monoclinic

Cell: 3.4796 4.6148 5.4080 Å, 90.00 90.09 90.00°
Space group P2/m (No. 10)
Symmetry-distinct sites (fractional):
Y: 0.0000 0.0000 0.0000
Tc: 0.4991 0.5000 0.7917
Te: 0.5000 0.0000 0.5000



Here is a relaxed Y2TcTe crystal from Alexandria via LeMat-Bulk. Energies are from GGA-PBE.

Values from the calculation:
crystal system: trigonal

Cell: 3.8588 3.8588 24.2500 Å, 90.00 90.00 120.00°
Space group R-3m (No. 166, hexagonal axes)
Symmetry-distinct sites (fractional):
Y: 0.0000 0.0000 0.2435
Tc: 0.0000 0.0000 0.5000
Te: 0.0000 0.0000 0.0000



Here is a relaxed YTc2Te crystal from Alexandria via LeMat-Bulk. Energies are from GGA-PBE.

Values from the calculation:
crystal system: orthorhombic

Cell: 3.1987 4.1992 5.8037 Å, 90.00 90.00 90.00°
Space group Pmm2 (No. 25)
Symmetry-distinct sites (fractional):
Y: 0.0000 0.0000 0.0000
Tc: 0.0000 0.0000 0.4628
Tc: 0.5000 0.5000 0.2743
Te: 0.5000 0.5000 0.7180



Here is a relaxed Y2TcTe crystal from Alexandria via LeMat-Bulk. Energies are from GGA-PBE.

Values from the calculation:
crystal system: tetragonal

Cell: 4.1411 4.1411 6.2400 Å, 90.00 90.00 90.00°
Space group P4mm (No. 99)
Symmetry-distinct sites (fractional):
Y: 0.0000 0.0000 0.0000
Y: 0.5000 0.5000 0.3482
Tc: 0.0000 0.0000 0.4262
Te: 0.5000 0.5000 0.8422



Here is a relaxed Y2TcTe crystal from Alexandria via LeMat-Bulk. Energies are from GGA-PBE.

Values from the calculation:
crystal system: tetragonal

Cell: 4.7319 4.7319 8.2176 Å, 90.00 90.00 90.00°
Space group I4/mmm (No. 139)
Symmetry-distinct sites (fractional):
Y: 0.0000 0.5000 0.2500
Tc: 0.0000 0.0000 0.0000
Te: 0.0000 0.0000 0.5000



Here is a relaxed YTc2Te crystal from Alexandria via LeMat-Bulk. Energies are from GGA-PBE.

Values from the calculation:
crystal system: monoclinic

Cell: 4.7137 3.3379 5.1850 Å, 90.00 110.39 90.00°
Space group P2/m (No. 10)
Symmetry-distinct sites (fractional):
Y: 0.0000 0.0000 0.0000
Tc: 0.5000 0.0000 0.5000
Tc: 0.5000 0.5000 0.0000
Te: 0.0000 0.5000 0.5000



Here is a relaxed Y4TcTe crystal from Alexandria via LeMat-Bulk. Energies are from GGA-PBE.

Values from the calculation:
excess energy over the best structure of this formula in the dataset: 6.77 eV/f.u.
crystal system: cubic

Cell: 8.6920 8.6920 8.6920 Å, 90.00 90.00 90.00°
Space group F-43m (No. 216)
Symmetry-distinct sites (fractional):
Y: 0.1235 0.1235 0.1235
Tc: 0.2500 0.2500 0.7500
Te: 0.0000 0.0000 0.5000



Here is a relaxed YTc4Te crystal from Alexandria via LeMat-Bulk. Energies are from GGA-PBE.

Values from the calculation:
crystal system: cubic

Cell: 7.5701 7.5701 7.5701 Å, 90.00 90.00 90.00°
Space group F-43m (No. 216)
Symmetry-distinct sites (fractional):
Y: 0.0000 0.0000 0.0000
Tc: 0.1239 0.1239 0.6239
Te: 0.2500 0.2500 0.2500



Here is a relaxed YTc2Te crystal from Alexandria via LeMat-Bulk. Energies are from GGA-PBE.

Values from the calculation:
crystal system: monoclinic

Cell: 3.5417 4.0301 6.2092 Å, 90.00 106.46 90.00°
Space group Pm (No. 6)
Symmetry-distinct sites (fractional):
Y: 0.0000 0.0000 0.0000
Tc: 0.5201 0.0000 0.4371
Tc: 0.7631 0.5000 0.3088
Te: 0.3252 0.5000 0.7111



Here is a relaxed Y2TcTe crystal from Alexandria via LeMat-Bulk. Energies are from GGA-PBE.

Values from the calculation:
crystal system: trigonal

Cell: 3.5471 3.5471 28.3097 Å, 90.00 90.00 120.00°
Space group R3m (No. 160, hexagonal axes)
Symmetry-distinct sites (fractional):
Y: 0.0000 0.0000 0.0000
Y: 0.0000 0.0000 0.2295
Tc: 0.0000 0.0000 0.7454
Te: 0.0000 0.0000 0.4720



Here is a relaxed YTc2Te crystal from Alexandria via LeMat-Bulk. Energies are from GGA-PBE.

Values from the calculation:
crystal system: trigonal

Cell: 3.3036 3.3036 25.4157 Å, 90.00 90.00 120.00°
Space group R-3m (No. 166, hexagonal axes)
Symmetry-distinct sites (fractional):
Y: 0.0000 0.0000 0.0000
Tc: 0.0000 0.0000 0.2426
Te: 0.0000 0.0000 0.5000



Number 1: D(E_F) 0.8959 states/eV per atom, ΔE_f (raw) -0.4958 eV/atom. Number 2: D(E_F) 0.8898 states/eV per atom, ΔE_f (raw) 0.1102 eV/atom. Number 3: D(E_F) 0.6461 states/eV per atom, ΔE_f (raw) -0.3398 eV/atom. Number 4: D(E_F) 0.8714 states/eV per atom, ΔE_f (raw) 0.1558 eV/atom. Number 5: D(E_F) 1.3216 states/eV per atom, ΔE_f (raw) -0.2209 eV/atom. Number 6: D(E_F) 0.8405 states/eV per atom, ΔE_f (raw) -0.2330 eV/atom. Number 7: D(E_F) 1.2630 states/eV per atom, ΔE_f (raw) 0.1923 eV/atom. Number 8: D(E_F) 1.2529 states/eV per atom, ΔE_f (raw) 0.6117 eV/atom. Number 9: D(E_F) 0.9030 states/eV per atom, ΔE_f (raw) 0.1712 eV/atom. Number 10: D(E_F) 0.8495 states/eV per atom, ΔE_f (raw) 0.0471 eV/atom. Number 11: D(E_F) 1.0128 states/eV per atom, ΔE_f (raw) 0.0779 eV/atom. Number 12: D(E_F) 1.2449 states/eV per atom, ΔE_f (raw) 0.4470 eV/atom.